Record 1
A plane-wave DFT calculation with PBE was carried out for a relaxed structure of Ce2AlSb.

The structure in extended XYZ format:
```
4
Lattice="2.121 1.224 7.852 -2.121 1.224 7.852 0.000 -2.449 7.852" Properties=species:S:1:pos:R:3 pbc="T T T"
Ce 0.000 0.000 5.874
Ce 0.000 0.000 17.682
Al 0.000 0.000 0.000
Sb 0.000 0.000 11.778
```

## Properties
- Fermi-level density of states (states/eV per atom) = 3.207
- space group = No. 166
- formation energy without anion corrections (eV per atom) = -0.3973
- E_tot (eV per atom) = -5.330

***

Record 2
A plane-wave DFT calculation with PBE was carried out for a relaxed structure of CeAl4Sb.

The structure in extended XYZ format:
```
6
Lattice="0.000 3.954 3.954 3.954 0.000 3.954 3.954 3.954 0.000" Properties=species:S:1:pos:R:3 pbc="T T T"
Ce 0.000 0.000 0.000
Al 2.965 2.965 2.965
Al 4.943 4.943 2.965
Al 4.943 2.965 4.943
Al 2.965 4.943 4.943
Sb 5.931 5.931 5.931
```

## Properties
- Fermi-level density of states (states/eV per atom) = 1.571
- space group = No. 216
- formation energy without anion corrections (eV per atom) = -0.1629
- E_tot (eV per atom) = -4.334

***

Record 3
A plane-wave DFT calculation with PBE was carried out for a relaxed structure of Ce2ScAl.

The structure in extended XYZ format:
```
4
Lattice="4.388 0.000 0.000 0.000 4.388 0.000 0.000 0.000 4.942" Properties=species:S:1:pos:R:3 pbc="T T T"
Ce 0.000 2.194 0.000
Ce 2.194 0.000 0.000
Sc 0.000 0.000 2.471
Al 2.194 2.194 2.471
```

## Properties
- Fermi-level density of states (states/eV per atom) = 2.135
- space group = No. 123
- E_tot (eV per atom) = -5.672
- formation enthalpy at 0 K (eV/atom) = -0.19